First-principles (PBE with a Hubbard U) data for a geometry-optimized Li2Fe3CoO8 structure, as listed in the Alexandria database.

Summary:
**Total magnetic moment**: 18.0 Bohr magnetons per cell
**Space group**: No. 186
**VASP energy**: -5.87 eV/atom

Cell lengths 5.769, 5.769, 9.568 Å; angles 90.00, 90.00, 120.00 degrees
Fractional positions:
O: 0.000 0.000 0.312
O: 0.333 0.667 0.107
O: 0.839 0.161 0.107
O: 0.483 0.966 0.330
O: 0.161 0.321 0.607
O: 0.679 0.839 0.607
O: 0.321 0.161 0.107
O: 0.161 0.839 0.607
O: 0.667 0.333 0.607
O: 0.517 0.034 0.830
O: 0.000 0.000 0.812
O: 0.839 0.679 0.107
O: 0.966 0.483 0.830
O: 0.483 0.517 0.330
O: 0.517 0.483 0.830
O: 0.034 0.517 0.330
Fe: 0.337 0.169 0.714
Fe: 0.831 0.169 0.714
Fe: 0.169 0.337 0.214
Fe: 0.663 0.831 0.214
Fe: 0.831 0.663 0.714
Fe: 0.169 0.831 0.214
Li: 0.000 0.000 0.998
Li: 0.333 0.667 0.892
Li: 0.000 0.000 0.498
Li: 0.667 0.333 0.392
Co: 0.667 0.333 0.991
Co: 0.333 0.667 0.491